No. 1
Material: Nd3Sm3In
Method: DFT, GGA-PBE
State: optimized geometry

Output
ΔE to the lowest computed polymorph = 70 meV/atom
Crystal system = orthorhombic
Formation enthalpy at 0 K = -0.03 eV per atom

a b c (Å): 13.6442 5.2737 13.0245
angles (deg): 90.00 90.00 90.00
Element x y z (fractional)
Nd: 0.0866 0.2500 0.1939
Nd: 0.1778 0.7500 0.7757
Nd: 0.1868 0.7500 0.3815
Nd: 0.3132 0.2500 0.8815
Nd: 0.3222 0.2500 0.2757
Nd: 0.4134 0.7500 0.6939
Nd: 0.5866 0.2500 0.3061
Nd: 0.6778 0.7500 0.7243
Nd: 0.6868 0.7500 0.1185
Nd: 0.8132 0.2500 0.6185
Nd: 0.8222 0.2500 0.2243
Nd: 0.9134 0.7500 0.8061
Sm: 0.0140 0.2500 0.4345
Sm: 0.0572 0.2500 0.9312
Sm: 0.2306 0.7500 0.0663
Sm: 0.2694 0.2500 0.5663
Sm: 0.4428 0.7500 0.4312
Sm: 0.4860 0.7500 0.9345
Sm: 0.5140 0.2500 0.0655
Sm: 0.5572 0.2500 0.5688
Sm: 0.7306 0.7500 0.4337
Sm: 0.7694 0.2500 0.9337
Sm: 0.9428 0.7500 0.0688
Sm: 0.9860 0.7500 0.5655
In: 0.0501 0.2500 0.6877
In: 0.4499 0.7500 0.1877
In: 0.5501 0.2500 0.8123
In: 0.9499 0.7500 0.3123

No. 2
Material: Nd3SmIn
Method: DFT, GGA-PBE
State: optimized geometry

Output
ΔE to the lowest computed polymorph = 0 meV/atom
Crystal system = orthorhombic
Formation enthalpy at 0 K = -0.19 eV per atom

a b c (Å): 13.2172 13.2172 4.9316
angles (deg): 90.00 90.00 158.49
Element x y z (fractional)
Nd: 0.0532 0.9468 0.7500
Nd: 0.2505 0.7495 0.7500
Nd: 0.4457 0.5543 0.7500
Nd: 0.5543 0.4457 0.2500
Nd: 0.7495 0.2505 0.2500
Nd: 0.9468 0.0532 0.2500
Sm: 0.3485 0.6515 0.2500
Sm: 0.6515 0.3485 0.7500
In: 0.1534 0.8466 0.2500
In: 0.8466 0.1534 0.7500

No. 3
Material: Nd2SmIn
Method: DFT, GGA-PBE
State: optimized geometry

Output
ΔE to the lowest computed polymorph = 134 meV/atom
Crystal system = cubic
Formation enthalpy at 0 K = -0.14 eV per atom

a b c (Å): 5.6011 5.6011 5.6011
angles (deg): 60.00 60.00 60.00
Element x y z (fractional)
Nd: 0.2500 0.2500 0.2500
Nd: 0.7500 0.7500 0.7500
Sm: 0.0000 0.0000 0.0000
In: 0.5000 0.5000 0.5000